4
Lattice="3.069 0.423 0.000 -0.422 3.069 0.000 0.000 0.000 8.139" Properties=species:S:1:pos:R:3 comment="PBE TeMoP2, optimized geometry" dos_at_fermi_per_ev_atom=1.017 e_form_raw_ev_per_atom=0.01 sg="P4/mmm (123)" dft_energy_ev_per_atom=-6.19 pbc="T T T"
Te 1.323 1.746 2.035
P 0.000 0.000 7.397
P 0.000 0.000 4.812
Mo 1.323 1.746 6.105

=====

4
Lattice="-1.139 -3.202 -1.153 2.358 -2.641 -0.590 -0.278 -3.979 5.700" Properties=species:S:1:pos:R:3 comment="PBE TeMo2P, optimized geometry" dos_at_fermi_per_ev_atom=0.946 e_form_raw_ev_per_atom=-0.03 sg="C2/m (12)" dft_energy_ev_per_atom=-7.58 e_above_lowest_polymorph_ev_per_atom=0.095 pbc="T T T"
Mo 0.899 -5.212 -0.386
Mo 0.042 -4.611 4.343
Te -0.139 -1.990 2.850
P 0.609 -2.922 -0.872